Below is a relaxed structure of ZrScSn2, with properties calculated at the PBE level.

The structure belongs to space group P4/mmm (No. 123); the cell edges are 3.245, 3.245 and 8.604 Å and the angles 90.00°, 90.00° and 90.00°. The asymmetric unit holds Zr at (0.000, 0.000, 0.000), Sc at (0.000, 0.000, 0.500) and Sn at (0.500, 0.500, 0.251).

The value obtained for the density is 6.8 g/cm3. For the total energy, the calculation gives -6.194 eV per atom. The calculation puts the energy above the lowest structure with this stoichiometry at 5.9 kJ per mole of atoms.

Below is a relaxed structure of Mn2Ag3Au8, with properties calculated at the PBE level.

The structure belongs to space group P2/m (No. 10); the cell edges are 7.286, 4.589 and 8.218 Å and the angles 90.00°, 116.11° and 90.00°. The asymmetric unit holds Mn at (0.223, 0.000, 0.449), Ag at (0.000, 0.000, 0.000), Ag at (0.299, 0.500, 0.001), Au at (0.128, 0.500, 0.258), Au at (0.182, 0.000, 0.765), Au at (0.325, 0.500, 0.649) and Au at (0.417, 0.000, 0.237).

The value obtained for the density is 13.5 g/cm3. For the total energy, the calculation gives -4.030 eV per atom.

Below is a relaxed structure of TbDy2Rh2, with properties calculated at the PBE level.

The structure belongs to space group Cmcm (No. 63); the cell edges are 3.794, 26.329 and 4.638 Å and the angles 90.00°, 90.00° and 90.00°. The asymmetric unit holds Tb at (0.000, 0.137, 0.250), Dy at (0.000, 0.235, 0.750), Dy at (0.000, 0.448, 0.250), Rh at (0.000, 0.033, 0.250) and Rh at (0.000, 0.339, 0.250).

The value obtained for the density is 9.9 g/cm3. For the total energy, the calculation gives -6.328 eV per atom.

Below is a relaxed structure of SmTaPt6, with properties calculated at the PBE level.

The structure belongs to space group P4/mmm (No. 123); the cell edges are 4.084, 4.084 and 8.180 Å and the angles 90.00°, 90.00° and 90.00°. The asymmetric unit holds Sm at (0.000, 0.000, 0.000), Ta at (0.000, 0.000, 0.500), Pt at (0.000, 0.500, 0.268), Pt at (0.500, 0.500, 0.000) and Pt at (0.500, 0.500, 0.500).

The value obtained for the density is 18.3 g/cm3. For the total energy, the calculation gives -7.431 eV per atom.